[1]
DFT (PBE) results for crystalline RbVPbCl6 at its relaxed geometry.

The space group is P312 (No. 149) and the conventional cell measures 7.0502, 7.0502 and 6.9823 Å, with angles of 90.00, 90.00 and 120.00 degrees. Symmetry generates all atoms from Rb at (0.0000, 0.0000, 0.0000), V at (0.6667, 0.3333, 0.5000), Pb at (0.3333, 0.6667, 0.5000) and Cl at (0.3948, 0.0518, 0.7017).

For the uncorrected formation energy, the calculation gives -1.378 eV/atom.



[2]
DFT (PBE) results for crystalline AcPm2Nd5Er at its relaxed geometry.

The space group is I4/mcm (No. 140) and the conventional cell measures 9.053, 9.053 and 15.826 Å, with angles of 90.00, 90.00 and 90.00 degrees. Symmetry generates all atoms from Ac at (0.000, 0.000, 0.250), Pm at (0.116, 0.384, 0.000), Nd at (0.000, 0.000, 0.000), Nd at (0.205, 0.295, 0.367) and Er at (0.000, 0.500, 0.250).

Its formation energy is 261 meV/atom.



[3]
DFT (PBE) results for crystalline BaAgSe at its relaxed geometry.

The space group is Cm (No. 8) and the conventional cell measures 11.151, 4.554 and 7.826 Å, with angles of 90.00, 102.85 and 90.00 degrees. Symmetry generates all atoms from Ba at (0.000, 0.000, 0.000), Ba at (0.209, 0.000, 0.594), Ag at (0.201, 0.500, 0.248), Ag at (0.488, 0.000, 0.365), Se at (0.198, 0.500, 0.903) and Se at (0.407, 0.500, 0.520).

For the uncorrected formation energy, the calculation gives -1.013 eV/atom.



[4]
DFT (PBE) results for crystalline LaNdHo2Er2 at its relaxed geometry.

The space group is Pnnm (No. 58) and the conventional cell measures 6.988, 16.054 and 3.572 Å, with angles of 90.00, 90.00 and 90.00 degrees. Symmetry generates all atoms from La at (0.000, 0.000, 0.000), Nd at (0.000, 0.500, 0.500), Ho at (0.250, 0.159, 0.500) and Er at (0.250, 0.342, 0.000).

Its formation energy is 181 meV/atom.



[5]
DFT (PBE) results for crystalline Th2Si3AgPt4 at its relaxed geometry.

The space group is P-4m2 (No. 115) and the conventional cell measures 4.266, 4.266 and 10.339 Å, with angles of 90.00, 90.00 and 90.00 degrees. Symmetry generates all atoms from Th at (0.000, 0.500, 0.246), Si at (0.000, 0.500, 0.876), Si at (0.500, 0.500, 0.500), Ag at (0.000, 0.000, 0.500), Pt at (0.000, 0.000, 0.000), Pt at (0.000, 0.500, 0.648) and Pt at (0.500, 0.500, 0.000).

For the uncorrected formation energy, the calculation gives -0.936 eV/atom.



[6]
DFT (PBE) results for crystalline PrLu3Tc at its relaxed geometry.

The space group is Pm-3m (No. 221) and the conventional cell measures 5.321, 5.321 and 5.321 Å, with angles of 90.00, 90.00 and 90.00 degrees. Symmetry generates all atoms from Pr at (0.000, 0.000, 0.000), Lu at (0.000, 0.500, 0.500) and Tc at (0.500, 0.500, 0.500).

Its formation energy is 66 meV/atom.



[7]
DFT (PBE) results for crystalline ThMn3Al2 at its relaxed geometry.

The space group is Cmmm (No. 65) and the conventional cell measures 5.462, 8.745 and 4.184 Å, with angles of 90.00, 90.00 and 90.00 degrees. Symmetry generates all atoms from Th at (0.000, 0.000, 0.000), Mn at (0.000, 0.346, 0.000), Mn at (0.000, 0.500, 0.500) and Al at (0.250, 0.250, 0.500).

Its formation energy is -191 meV/atom.



[8]
DFT (PBE) results for crystalline LaIrCl2 at its relaxed geometry.

The space group is Cmmm (No. 65) and the conventional cell measures 6.081, 6.717 and 4.418 Å, with angles of 90.00, 90.00 and 90.00 degrees. Symmetry generates all atoms from La at (0.000, 0.000, 0.000), Ir at (0.000, 0.500, 0.000) and Cl at (0.000, 0.279, 0.500).

For the uncorrected formation energy, the calculation gives -0.655 eV/atom.